1.
Density functional theory data (PBE) for crystalline Ce3Ni2As4Pd2 at its relaxed geometry.

a b c (Å): 4.1669 4.1669 14.5075
angles (deg): 90.00 90.00 120.00
Closest atoms and distances in Å follow each position.
Element x y z (fractional)
As: 0.6667 0.3333 0.6143  4 Pd 2.53-2.55
Pd: 0.6667 0.3333 0.4386  4 As 2.53-2.55
As: 0.3333 0.6667 0.3857  4 Pd 2.53-2.55
Pd: 0.3333 0.6667 0.5614  4 As 2.53-2.55
Ce: 0.0000 0.0000 0.7286  6 As 2.92-3.13, 3 Ni 3.06
Ni: 0.3333 0.6667 0.1411  3 As 2.41
Ce: 0.0000 0.0000 0.2714  6 As 2.92-3.13, 3 Ni 3.06
As: 0.3333 0.6667 0.8664  3 Ni 2.41
As: 0.6667 0.3333 0.1336  3 Ni 2.41
Ni: 0.6667 0.3333 0.8589  3 As 2.41
Ce: 0.0000 0.0000 0.0000  6 As 3.09, 6 Ni 3.16

Summary:
E   -6.241 eV/atom
V   218.1 Å³ per cell
Density of states at the Fermi level   15.9 states/eV/f.u.
Formation energy   -0.9362 eV per atom

2.
Density functional theory data (PBE) for crystalline CePmNi2As2 at its relaxed geometry.

a b c (Å): 4.0960 4.0960 7.9955
angles (deg): 90.00 90.00 120.00
Closest atoms and distances in Å follow each position.
Element x y z (fractional)
As: 0.3333 0.6667 0.2543  3 Ni 2.37
As: 0.6667 0.3333 0.7457  3 Ni 2.37
Ni: 0.3333 0.6667 0.7679  3 As 2.37
Pm: 0.0000 0.0000 0.5000  6 As 3.07, 6 Ni 3.19
Ce: 0.0000 0.0000 0.0000  6 Ni 3.01, 6 As 3.12
Ni: 0.6667 0.3333 0.2321  3 As 2.37

Summary:
E   -6.301 eV/atom
V   116.2 Å³ per cell
Density of states at the Fermi level   5.4 states/eV/f.u.
Formation energy   -1.0435 eV per atom

3.
Density functional theory data (PBE) for crystalline CePrNi2As2 at its relaxed geometry.

a b c (Å): 4.1110 4.1110 8.0818
angles (deg): 90.00 90.00 120.00
Closest atoms and distances in Å follow each position.
Element x y z (fractional)
Ni: 0.6667 0.3333 0.2705  3 As 2.38
Pr: 0.0000 0.0000 0.0000  6 As 3.12, 6 Ni 3.23
Ni: 0.3333 0.6667 0.7295  3 As 2.38
As: 0.6667 0.3333 0.7498  3 Ni 2.38
Ce: 0.0000 0.0000 0.5000  6 Ni 3.01, 6 As 3.12
As: 0.3333 0.6667 0.2502  3 Ni 2.38

Summary:
E   -6.295 eV/atom
V   118.3 Å³ per cell
Density of states at the Fermi level   5.4 states/eV/f.u.
Formation energy   -1.0328 eV per atom

4.
Density functional theory data (PBE) for crystalline Ce2NiAs3Rh4 at its relaxed geometry.

a b c (Å): 4.1244 4.1244 10.4102
angles (deg): 90.00 90.00 90.00
Closest atoms and distances in Å follow each position.
Element x y z (fractional)
Ni: 0.5000 0.5000 0.5000  4 Rh 2.49
Rh: 0.0000 0.0000 0.0000  4 As 2.50
Ce: 0.5000 0.0000 0.2624  8 Rh 3.11-3.42, 6 As 3.20-3.22, 2 Ni 3.22
As: 0.0000 0.5000 0.1360  5 Rh 2.39-2.50
Ce: 0.0000 0.5000 0.7376  8 Rh 3.11-3.42, 6 As 3.20-3.22, 2 Ni 3.22
As: 0.5000 0.0000 0.8640  5 Rh 2.39-2.50
Rh: 0.5000 0.5000 0.0000  4 As 2.50
As: 0.0000 0.0000 0.5000  4 Rh 2.49
Rh: 0.0000 0.5000 0.3658  3 As 2.39-2.49, 2 Ni 2.49
Rh: 0.5000 0.0000 0.6342  3 As 2.39-2.49, 2 Ni 2.49

Summary:
E   -6.936 eV/atom
V   177.1 Å³ per cell
Density of states at the Fermi level   9.5 states/eV/f.u.
Formation energy   -0.8357 eV per atom

5.
Density functional theory data (PBE) for crystalline CeNiAs2Rh2 at its relaxed geometry.

a b c (Å): 4.5122 4.5122 5.4185
angles (deg): 90.00 90.00 90.00
Closest atoms and distances in Å follow each position.
Element x y z (fractional)
Ce: 0.0000 0.0000 0.5000  2 Ni 2.71
Ni: 0.0000 0.0000 0.0000  4 As 2.26
Rh: 0.5000 0.5000 0.2580  2 Rh 2.62-2.80, 4 As 2.65
Rh: 0.5000 0.5000 0.7420  2 Rh 2.62-2.80, 4 As 2.65
As: 0.5000 0.0000 0.0000  2 Ni 2.26
As: 0.0000 0.5000 0.0000  2 Ni 2.26

Summary:
E   -6.255 eV/atom
V   110.3 Å³ per cell
Density of states at the Fermi level   8.8 states/eV/f.u.
Formation energy   -0.3022 eV per atom

6.
Density functional theory data (PBE) for crystalline Ce2Ni4Sb3As at its relaxed geometry.

a b c (Å): 4.4465 4.4465 9.7002
angles (deg): 90.00 90.00 90.00
Closest atoms and distances in Å follow each position.
Element x y z (fractional)
Sb: 0.0000 0.5000 0.1305  5 Ni 2.50-2.56
Ce: 0.0000 0.5000 0.7524  9 Ni 3.27-3.54, 2 As 3.31, 6 Sb 3.31-3.34
Sb: 0.0000 0.0000 0.5000  4 Ni 2.48
Ni: 0.0000 0.0000 0.0000  4 Sb 2.56
Ni: 0.0000 0.5000 0.3878  2 As 2.48, 3 Sb 2.48-2.50
Ce: 0.5000 0.0000 0.2476  9 Ni 3.27-3.54, 6 Sb 3.31-3.34, 2 As 3.31
Sb: 0.5000 0.0000 0.8695  5 Ni 2.50-2.56
Ni: 0.5000 0.0000 0.6122  2 As 2.48, 3 Sb 2.48-2.50
As: 0.5000 0.5000 0.5000  4 Ni 2.48
Ni: 0.5000 0.5000 0.0000  4 Sb 2.56

Summary:
E   -5.865 eV/atom
V   191.8 Å³ per cell
Density of states at the Fermi level   12.1 states/eV/f.u.

7.
Density functional theory data (PBE) for crystalline CeNi7Sb2As2 at its relaxed geometry.

a b c (Å): 4.2871 4.2871 11.2726
angles (deg): 89.50 89.50 102.43
Closest atoms and distances in Å follow each position.
Element x y z (fractional)
Ni: 0.1038 0.4706 0.8243  2 As 2.27-2.35, 1 Ni 2.45
Ni: 0.4706 0.1038 0.8243  2 As 2.27-2.35, 1 Ni 2.45
As: 0.3450 0.3450 0.2097  6 Ni 2.27-2.50
Sb: 0.8448 0.8448 0.3787  5 Ni 2.53-2.74
Ni: 0.8962 0.5294 0.1757  2 As 2.27-2.35, 1 Ni 2.45
Sb: 0.1552 0.1552 0.6213  5 Ni 2.53-2.74
Ni: 0.6525 0.6525 0.5851  1 As 2.31, 1 Sb 2.53, 1 Ni 2.54
Ni: 0.5000 0.5000 0.0000  2 As 2.50, 4 Ni 2.61, 2 Ce 2.69
As: 0.6550 0.6550 0.7903  6 Ni 2.27-2.50
Ce: 0.0000 0.0000 0.0000  6 Ni 2.69-2.78
Ni: 0.3475 0.3475 0.4149  1 As 2.31, 1 Sb 2.53, 1 Ni 2.54
Ni: 0.5294 0.8962 0.1757  2 As 2.27-2.35, 1 Ni 2.45

Summary:
E   -5.460 eV/atom
V   202.3 Å³ per cell
Density of states at the Fermi level   6.9 states/eV/f.u.

8.
Density functional theory data (PBE) for crystalline CeScNi2As2 at its relaxed geometry.

a b c (Å): 4.0580 4.0580 7.4260
angles (deg): 90.00 90.00 120.00
Closest atoms and distances in Å follow each position.
Element x y z (fractional)
Ni: 0.3333 0.6667 0.7256  3 As 2.34
Ce: 0.0000 0.0000 0.0000  6 As 3.07, 6 Ni 3.11
As: 0.6667 0.3333 0.7337  3 Ni 2.34
Ni: 0.6667 0.3333 0.2744  3 As 2.34
As: 0.3333 0.6667 0.2663  3 Ni 2.34
Sc: 0.0000 0.0000 0.5000  6 Ni 2.88, 6 As 2.92

Summary:
E   -6.506 eV/atom
V   105.9 Å³ per cell
Density of states at the Fermi level   6.8 states/eV/f.u.
Formation energy   -0.9845 eV per atom